A plane-wave DFT calculation with PBE with a Hubbard U was carried out for a relaxed CeFe2SbO6 crystal.

abc: 5.6036 5.6681 8.0653
angles: 90.00 89.61 90.00
Element x y z (fractional)
1 Ce 0.0000 0.5000 0.5000
2 Fe 0.9868 0.9777 0.2765
3 Sb 0.5000 0.0000 0.5000
4 O 0.3705 0.8729 0.7220
5 O 0.6295 0.1271 0.2780
6 O 0.6457 0.2948 0.6079
7 O 0.8705 0.6271 0.2220
8 O 0.1295 0.3729 0.7780
9 Fe 0.5132 0.4777 0.2235
10 O 0.8178 0.8501 0.5354
11 O 0.3543 0.7052 0.3921
12 Fe 0.0132 0.0223 0.7235
13 Ce 0.5000 0.0000 0.0000
14 Fe 0.4868 0.5223 0.7765
15 O 0.8543 0.7948 0.8921
16 Sb 0.0000 0.5000 0.0000
17 O 0.1822 0.1499 0.4646
18 O 0.3178 0.6499 0.0354
19 O 0.6822 0.3501 0.9646
20 O 0.1457 0.2052 0.1079

Calculated values
E_tot ... -139.7 eV/cell
D(E_F) ... 0.4641 states/eV/atom